No. 1
A geometry-optimized NdHo3Er2Te6 structure. Source: the Alexandria database, functional GGA-PBE.

Unit cell a=4.321 b=8.784 c=9.715 alpha=101.97 beta=102.85 gamma=90.00
Element x y z (fractional)
1 Te 0.669 0.585 0.337
2 Ho 0.160 0.835 0.319
3 Te 0.327 0.911 0.654
4 Nd 0.500 0.000 0.000
5 Te 0.998 0.740 0.995
6 Te 0.331 0.415 0.663
7 Ho 0.500 0.500 0.000
8 Te 0.673 0.089 0.346
9 Er 0.164 0.331 0.327
10 Te 0.002 0.260 0.005
11 Er 0.836 0.669 0.673
12 Ho 0.840 0.165 0.681

Computed properties:
Fermi-level density of states: 0.56 states/eV/atom
space-group type: C2/m (12)
uncorrected formation energy: -1264.0 meV per atom
magnetic moment: 0.00 μB/atom



No. 2
A geometry-optimized Nd2HoErTe6 structure. Source: the Alexandria database, functional GGA-PBE.

Unit cell a=7.819 b=7.819 c=8.372 alpha=62.16 beta=62.16 gamma=60.00
Element x y z (fractional)
1 Te 0.595 0.213 0.258
2 Te 0.715 0.095 0.756
3 Te 0.935 0.595 0.258
4 Te 0.435 0.715 0.756
5 Nd 0.014 0.014 0.959
6 Te 0.095 0.435 0.756
7 Ho 0.324 0.324 0.028
8 Te 0.213 0.935 0.258
9 Er 0.824 0.824 0.528
10 Nd 0.514 0.514 0.458

Computed properties:
space-group type: R3 (146)
uncorrected formation energy: -1363.3 meV per atom
magnetic moment: 0.00 μB/atom



No. 3
A geometry-optimized Nd2HoErTe5 structure. Source: the Alexandria database, functional GGA-PBE.

Unit cell a=5.527 b=5.527 c=11.502 alpha=90.00 beta=90.00 gamma=90.00
Site moments in Bohr magnetons follow the coordinates.
Element x y z (fractional)
1 Er 0.000 0.000 0.000  0.01
2 Te 0.500 0.000 0.500  0.00
3 Te 0.000 0.500 0.500  0.00
4 Te 0.000 0.000 0.755  0.00
5 Nd 0.500 0.500 0.664  0.12
6 Nd 0.500 0.500 0.336  0.12
7 Te 0.500 0.500 0.000  0.01
8 Te 0.000 0.000 0.245  0.00
9 Ho 0.000 0.000 0.500  0.02

Computed properties:
Fermi-level density of states: 0.59 states/eV/atom
space-group type: P4/mmm (123)
uncorrected formation energy: -789.7 meV per atom
magnetic moment: 0.06 μB/atom



No. 4
A geometry-optimized Nd2Ho3ErTe6 structure. Source: the Alexandria database, functional GGA-PBE.

Unit cell a=4.351 b=8.836 c=9.843 alpha=103.24 beta=102.77 gamma=90.00
Element x y z (fractional)
1 Te 0.004 0.753 0.008
2 Te 0.339 0.409 0.678
3 Te 0.661 0.591 0.322
4 Te 0.337 0.927 0.675
5 Te 0.663 0.073 0.325
6 Nd 0.829 0.662 0.658
7 Ho 0.174 0.836 0.347
8 Ho 0.500 0.500 0.000
9 Nd 0.171 0.338 0.342
10 Er 0.500 0.000 0.000
11 Te 0.996 0.247 0.992
12 Ho 0.826 0.164 0.653

Computed properties:
Fermi-level density of states: 0.56 states/eV/atom
space-group type: C2/m (12)
uncorrected formation energy: -1301.6 meV per atom
magnetic moment: 0.00 μB/atom